NaIn2C: optimized geometry, GGA-PBE.

Crystal system: tetragonal
Volume in A^3/atom: 25.646
Energy of formation in eV/f.u.: 3.1
Symmetry: I-42d

a b c (Å): 6.9615 6.9615 6.4926
angles (deg): 57.58 57.58 90.00
Closest atoms and distances in Å follow each position.
Element x y z (fractional)
Na 0.0000 0.0000 0.0000  4 In 3.28
Na 0.7500 0.2500 0.5000  4 In 3.28
C 0.5000 0.5000 0.0000  4 In 2.23
C 0.2500 0.7500 0.5000  4 In 2.23
In 0.5064 0.1250 0.2500  2 C 2.23
In 0.2436 0.6250 0.2500  2 C 2.23
In 0.3750 0.4936 0.7500  2 C 2.23
In 0.8750 0.7564 0.7500  2 C 2.23